Record 1
Density functional theory data (PBE) for a relaxed Sc3TaCl2O6 crystal.

**Calculated volume**: 353 Å³ per cell
**D(E_F)**: 0.00 states/eV/atom
**E_tot**: -195.8 eV for the cell shown

```
data_Sc3TaCl2O6
_chemical_formula_sum 'Sc6 Ta2 Cl4 O12'
_symmetry_space_group_name_H-M 'C 1 2/m 1'
_symmetry_Int_Tables_number 12
_symmetry_space_group_name_Hall '-C 2y'
_cell_length_a 10.959
_cell_length_b 6.200
_cell_length_c 5.302
_cell_angle_alpha 90.00
_cell_angle_beta 101.84
_cell_angle_gamma 90.00
loop_
_atom_site_label
_atom_site_type_symbol
_atom_site_fract_x
_atom_site_fract_y
_atom_site_fract_z
_atom_site_occupancy
Sc1 Sc 0.000 0.000 0.000 1
Sc2 Sc 0.250 0.250 0.500 1
Ta1 Ta 0.000 0.500 0.500 1
Cl1 Cl 0.199 0.000 0.831 1
O1 O 0.061 0.256 0.289 1
O2 O 0.179 0.500 0.671 1
```

***

Record 2
Density functional theory data (PBE) for a relaxed BaAsPt2 crystal.

**Formation enthalpy at 0 K**: -0.06 eV per atom
**Calculated volume**: 179 Å³ per cell
**D(E_F)**: 0.52 states/eV/atom
**E_tot**: -37.8 eV for the cell shown

```
data_BaAsPt2
_chemical_formula_sum 'Ba2 As2 Pt4'
_symmetry_space_group_name_H-M 'C m m m'
_symmetry_Int_Tables_number 65
_symmetry_space_group_name_Hall '-C 2 2'
_cell_length_a 6.243
_cell_length_b 7.305
_cell_length_c 3.922
_cell_angle_alpha 90.00
_cell_angle_beta 90.00
_cell_angle_gamma 90.00
loop_
_atom_site_label
_atom_site_type_symbol
_atom_site_fract_x
_atom_site_fract_y
_atom_site_fract_z
_atom_site_occupancy
Ba1 Ba 0.000 0.000 0.000 1
As1 As 0.000 0.500 0.000 1
Pt1 Pt 0.250 0.250 0.500 1
```

***

Record 3
Density functional theory data (PBE) for a relaxed Ga2Bi4Pb5 crystal.

**Formation enthalpy at 0 K**: 0.07 eV per atom
**Calculated volume**: 362 Å³ per cell
**D(E_F)**: 0.39 states/eV/atom
**E_tot**: -39.4 eV for the cell shown

```
data_Ga2Bi4Pb5
_chemical_formula_sum 'Ga2 Bi4 Pb5'
_symmetry_space_group_name_H-M 'P -1'
_symmetry_Int_Tables_number 2
_symmetry_space_group_name_Hall '-P 1'
_cell_length_a 4.648
_cell_length_b 8.218
_cell_length_c 9.898
_cell_angle_alpha 86.39
_cell_angle_beta 89.62
_cell_angle_gamma 73.68
loop_
_atom_site_label
_atom_site_type_symbol
_atom_site_fract_x
_atom_site_fract_y
_atom_site_fract_z
_atom_site_occupancy
Ga1 Ga 0.040 0.429 0.128 1
Bi1 Bi 0.248 0.019 0.250 1
Bi2 Bi 0.462 0.581 0.256 1
Pb1 Pb 0.000 0.500 0.500 1
Pb2 Pb 0.333 0.817 0.953 1
Pb3 Pb 0.340 0.807 0.565 1
```

***

Record 4
Density functional theory data (PBE) for a relaxed NaTm4ThSe8 crystal.

**Calculated volume**: 1261 Å³ per cell
**D(E_F)**: 0.31 states/eV/atom
**E_tot**: -234.0 eV for the cell shown

```
data_NaTm4ThSe8
_chemical_formula_sum 'Na3 Tm12 Th3 Se24'
_symmetry_space_group_name_H-M 'R 3 m'
_symmetry_Int_Tables_number 160
_symmetry_space_group_name_Hall 'R 3 -2"'
_cell_length_a 8.3472
_cell_length_b 8.3472
_cell_length_c 20.8942
_cell_angle_alpha 90.00
_cell_angle_beta 90.00
_cell_angle_gamma 120.00
loop_
_atom_site_label
_atom_site_type_symbol
_atom_site_fract_x
_atom_site_fract_y
_atom_site_fract_z
_atom_site_occupancy
Na1 Na 0.0000 0.0000 0.0000 1
Tm1 Tm 0.0000 0.0000 0.7422 1
Tm2 Tm 0.0116 0.5058 0.8721 1
Th1 Th 0.0000 0.0000 0.3674 1
Se1 Se 0.0000 0.0000 0.1320 1
Se2 Se 0.0000 0.0000 0.6110 1
Se3 Se 0.0144 0.5072 0.1262 1
Se4 Se 0.1773 0.3545 0.9485 1
```

***

Record 5
Density functional theory data (PBE) for a relaxed LiPr3Ni crystal.

**Formation enthalpy at 0 K**: 0.09 eV per atom
**Calculated volume**: 167 Å³ per cell
**D(E_F)**: 1.47 states/eV/atom
**Energy above the most stable polymorph in this dataset**: 111.0 meV/atom
**E_tot**: -21.6 eV for the cell shown

```
data_LiPr3Ni
_chemical_formula_sum 'Li1 Pr3 Ni1'
_symmetry_space_group_name_H-M 'P m -3 m'
_symmetry_Int_Tables_number 221
_symmetry_space_group_name_Hall '-P 4 2 3'
_cell_length_a 5.508
_cell_length_b 5.508
_cell_length_c 5.508
_cell_angle_alpha 90.00
_cell_angle_beta 90.00
_cell_angle_gamma 90.00
loop_
_atom_site_label
_atom_site_type_symbol
_atom_site_fract_x
_atom_site_fract_y
_atom_site_fract_z
_atom_site_occupancy
Li1 Li 0.000 0.000 0.000 1
Pr1 Pr 0.000 0.500 0.500 1
Ni1 Ni 0.500 0.500 0.500 1
```

***

Record 6
Density functional theory data (PBE) for a relaxed SnRh2S4 crystal.

**Calculated volume**: 518 Å³ per cell
**D(E_F)**: 0.84 states/eV/atom
**E_tot**: -148.2 eV for the cell shown

```
data_SnRh2S4
_chemical_formula_sum 'Sn4 Rh8 S16'
_symmetry_space_group_name_H-M 'I 41/a'
_symmetry_Int_Tables_number 88
_cell_length_a 6.516
_cell_length_b 6.516
_cell_length_c 12.210
_cell_angle_alpha 90.00
_cell_angle_beta 90.00
_cell_angle_gamma 90.00
loop_
_symmetry_equiv_pos_as_xyz
'x,y,z'
'-x,-y,-z'
'-y+3/4,x+1/4,z+1/4'
'y+3/4,-x+1/4,-z+1/4'
'-x+1/2,-y,z+1/2'
'x+1/2,y,-z+1/2'
'y+3/4,-x+3/4,z+3/4'
'-y+3/4,x+3/4,-z+3/4'
'x+1/2,y+1/2,z+1/2'
'-x+1/2,-y+1/2,-z+1/2'
'-y+1/4,x+3/4,z+3/4'
'y+1/4,-x+3/4,-z+3/4'
'-x,-y+1/2,z'
'x,y+1/2,-z'
'y+1/4,-x+1/4,z+1/4'
'-y+1/4,x+1/4,-z+1/4'
loop_
_atom_site_label
_atom_site_type_symbol
_atom_site_fract_x
_atom_site_fract_y
_atom_site_fract_z
_atom_site_occupancy
Sn1 Sn 0.000 0.250 0.125 1
Rh1 Rh 0.000 0.000 0.500 1
S1 S 0.157 0.445 0.331 1
```

***

Record 7
Density functional theory data (PBE) for a relaxed CsICl2 crystal.

**Calculated volume**: 441 Å³ per cell
**D(E_F)**: 0.00 states/eV/atom
**Energy above the most stable polymorph in this dataset**: 2.0 meV/atom
**E_tot**: -21.2 eV for the cell shown

```
data_CsICl2
_chemical_formula_sum 'Cs2 I2 Cl4'
_symmetry_space_group_name_H-M 'P 63/m m c'
_symmetry_Int_Tables_number 194
_symmetry_space_group_name_Hall '-P 6c 2c'
_cell_length_a 5.7334
_cell_length_b 5.7334
_cell_length_c 15.5021
_cell_angle_alpha 90.00
_cell_angle_beta 90.00
_cell_angle_gamma 120.00
loop_
_atom_site_label
_atom_site_type_symbol
_atom_site_fract_x
_atom_site_fract_y
_atom_site_fract_z
_atom_site_occupancy
Cs1 Cs 0.0000 0.0000 0.0000 1
I1 I 0.3333 0.6667 0.2500 1
Cl1 Cl 0.3333 0.6667 0.0836 1
```

***

Record 8
Density functional theory data (PBE) for a relaxed LaZrBe3 crystal.

**Formation enthalpy at 0 K**: 1.66 eV per atom
**Calculated volume**: 102 Å³ per cell
**D(E_F)**: 1.02 states/eV/atom
**Energy above the most stable polymorph in this dataset**: 817.2 meV/atom
**E_tot**: -16.4 eV for the cell shown

```
data_LaZrBe3
_chemical_formula_sum 'La1 Zr1 Be3'
_symmetry_space_group_name_H-M 'P m -3 m'
_symmetry_Int_Tables_number 221
_symmetry_space_group_name_Hall '-P 4 2 3'
_cell_length_a 4.671
_cell_length_b 4.671
_cell_length_c 4.671
_cell_angle_alpha 90.00
_cell_angle_beta 90.00
_cell_angle_gamma 90.00
loop_
_atom_site_label
_atom_site_type_symbol
_atom_site_fract_x
_atom_site_fract_y
_atom_site_fract_z
_atom_site_occupancy
La1 La 0.000 0.000 0.000 1
Zr1 Zr 0.500 0.500 0.500 1
Be1 Be 0.000 0.000 0.500 1
```

***

Record 9
Density functional theory data (PBE) for a relaxed SmCd7Hg12 crystal.

**Formation enthalpy at 0 K**: -0.04 eV per atom
**Calculated volume**: 1572 Å³ per cell
**D(E_F)**: 0.30 states/eV/atom
**Energy above the most stable polymorph in this dataset**: 0.0 meV/atom
**E_tot**: -46.4 eV for the cell shown

```
data_SmCd7Hg12
_chemical_formula_sum 'Sm3 Cd21 Hg36'
_symmetry_space_group_name_H-M 'R -3'
_symmetry_Int_Tables_number 148
_symmetry_space_group_name_Hall '-R 3'
_cell_length_a 13.5596
_cell_length_b 13.5596
_cell_length_c 9.8750
_cell_angle_alpha 90.00
_cell_angle_beta 90.00
_cell_angle_gamma 120.00
loop_
_atom_site_label
_atom_site_type_symbol
_atom_site_fract_x
_atom_site_fract_y
_atom_site_fract_z
_atom_site_occupancy
Sm1 Sm 0.0000 0.0000 0.0000 1
Cd1 Cd 0.0000 0.0000 0.5000 1
Cd2 Cd 0.0098 0.1570 0.7399 1
Hg1 Hg 0.0354 0.7892 0.9424 1
Hg2 Hg 0.0494 0.2548 0.4337 1
```

***

Record 10
Density functional theory data (PBE) for a relaxed MnAg3 crystal.

**Formation enthalpy at 0 K**: 0.21 eV per atom
**Calculated volume**: 278 Å³ per cell
**D(E_F)**: 0.42 states/eV/atom
**E_tot**: -67.6 eV for the cell shown

```
data_MnAg3
_chemical_formula_sum 'Mn4 Ag12'
_symmetry_space_group_name_H-M 'P n m a'
_symmetry_Int_Tables_number 62
_symmetry_space_group_name_Hall '-P 2ac 2n'
_cell_length_a 5.031
_cell_length_b 9.420
_cell_length_c 5.869
_cell_angle_alpha 90.00
_cell_angle_beta 90.00
_cell_angle_gamma 90.00
loop_
_atom_site_label
_atom_site_type_symbol
_atom_site_fract_x
_atom_site_fract_y
_atom_site_fract_z
_atom_site_occupancy
Mn1 Mn 0.087 0.250 0.114 1
Ag1 Ag 0.084 0.250 0.615 1
Ag2 Ag 0.246 0.504 0.870 1
```